The following is a DFT calculation (GGA-PBE) of an optimized crystal structure of GaCu.

Summary:
- M_tot: 0.000 μB/atom
- Formation enthalpy at 0 K: 49.6 meV per atom
- Space-group type: I4/m, No. 87
- Electronic total energy: -3.512 eV/atom

abc: 8.502 8.502 3.712
angles: 90.00 90.00 90.00
Sites, in units of the cell vectors:
1 Cu 0.101 0.606 0.000
2 Cu 0.606 0.899 0.000
3 Cu 0.894 0.601 0.500
4 Cu 0.394 0.101 0.000
5 Cu 0.106 0.399 0.500
6 Cu 0.399 0.894 0.500
7 Cu 0.899 0.394 0.000
8 Cu 0.601 0.106 0.500
9 Ga 0.197 0.878 0.000
10 Ga 0.622 0.697 0.500
11 Ga 0.878 0.803 0.000
12 Ga 0.803 0.122 0.000
13 Ga 0.697 0.378 0.500
14 Ga 0.378 0.303 0.500
15 Ga 0.122 0.197 0.000
16 Ga 0.303 0.622 0.500